[1]
# Ge3TeI | the Alexandria database | PBE-GGA | relaxed
data_Ge3TeI
_chemical_formula_sum 'Ge3 Te1 I1'
_space_group_name_H-M_alt 'P m -3 m'
_space_group_IT_number 221
_space_group_name_Hall '-P 4 2 3'
_cell_length_a 5.5916
_cell_length_b 5.5916
_cell_length_c 5.5916
_cell_angle_alpha 90.00
_cell_angle_beta 90.00
_cell_angle_gamma 90.00
loop_
_atom_site_label
_atom_site_type_symbol
_atom_site_fract_x
_atom_site_fract_y
_atom_site_fract_z
Ge1 Ge 0.0000 0.0000 0.5000
Te1 Te 0.0000 0.0000 0.0000
I1 I 0.5000 0.5000 0.5000
# **Polymorph energy (0 for the lowest one)**: 0.0000 eV per atom
# **Energy relative to the elements, uncorrected**: 0.8225 eV/atom
# **Crystal system**: cubic
# **M_tot**: 1.24 μB per cell

[2]
# Ge2TeI2 | the Alexandria database | PBE-GGA | relaxed
data_Ge2TeI2
_chemical_formula_sum 'Ge4 Te2 I4'
_space_group_name_H-M_alt 'C 1 2/m 1'
_space_group_IT_number 12
_cell_length_a 7.3934
_cell_length_b 4.2694
_cell_length_c 11.8601
_cell_angle_alpha 90.00
_cell_angle_beta 103.38
_cell_angle_gamma 90.00
loop_
_space_group_symop_operation_xyz
'x,y,z'
'-x,-y,-z'
'-x,y,-z'
'x,-y,z'
'x+1/2,y+1/2,z'
'-x+1/2,-y+1/2,-z'
'-x+1/2,y+1/2,-z'
'x+1/2,-y+1/2,z'
loop_
_atom_site_label
_atom_site_type_symbol
_atom_site_fract_x
_atom_site_fract_y
_atom_site_fract_z
Ge1 Ge 0.2222 0.0000 0.1498
Te1 Te 0.0000 0.5000 0.0000
I1 I 0.0541 0.0000 0.6966
# **Polymorph energy (0 for the lowest one)**: 0.0000 eV per atom
# **Energy relative to the elements, uncorrected**: -0.2094 eV/atom
# **Crystal system**: monoclinic
# **M_tot**: 0.00 μB per cell

[3]
# Ge2Te2I | the Alexandria database | PBE-GGA | relaxed
data_Ge2Te2I
_chemical_formula_sum 'Ge4 Te4 I2'
_space_group_name_H-M_alt 'P 4/m b m'
_space_group_IT_number 127
_space_group_name_Hall '-P 4 2ab'
_cell_length_a 8.5837
_cell_length_b 8.5837
_cell_length_c 3.7292
_cell_angle_alpha 90.00
_cell_angle_beta 90.00
_cell_angle_gamma 90.00
loop_
_atom_site_label
_atom_site_type_symbol
_atom_site_fract_x
_atom_site_fract_y
_atom_site_fract_z
Ge1 Ge 0.1431 0.3569 0.0000
Te1 Te 0.1412 0.6412 0.5000
I1 I 0.0000 0.0000 0.0000
# **Polymorph energy (0 for the lowest one)**: 0.1490 eV per atom
# **Energy relative to the elements, uncorrected**: 0.1125 eV/atom
# **Crystal system**: tetragonal
# **M_tot**: 0.00 μB per cell

[4]
# Ge2Te2I | the Alexandria database | PBE-GGA | relaxed
data_Ge2Te2I
_chemical_formula_sum 'Ge8 Te8 I4'
_space_group_name_H-M_alt 'I 41 m d'
_space_group_IT_number 109
_space_group_name_Hall 'I 4bw -2'
_cell_length_a 6.9996
_cell_length_b 6.9996
_cell_length_c 13.0696
_cell_angle_alpha 90.00
_cell_angle_beta 90.00
_cell_angle_gamma 90.00
loop_
_atom_site_label
_atom_site_type_symbol
_atom_site_fract_x
_atom_site_fract_y
_atom_site_fract_z
Ge1 Ge 0.0000 0.2940 0.0000
Te1 Te 0.0000 0.2381 0.2133
I1 I 0.0000 0.0000 0.5194
# **Polymorph energy (0 for the lowest one)**: 0.0000 eV per atom
# **Energy relative to the elements, uncorrected**: -0.0365 eV/atom
# **Crystal system**: tetragonal
# **M_tot**: 0.00 μB per cell

[5]
# GeTeI3 | the Alexandria database | PBE-GGA | relaxed
data_GeTeI3
_chemical_formula_sum 'Ge1 Te1 I3'
_space_group_name_H-M_alt 'P m -3 m'
_space_group_IT_number 221
_space_group_name_Hall '-P 4 2 3'
_cell_length_a 6.0508
_cell_length_b 6.0508
_cell_length_c 6.0508
_cell_angle_alpha 90.00
_cell_angle_beta 90.00
_cell_angle_gamma 90.00
loop_
_atom_site_label
_atom_site_type_symbol
_atom_site_fract_x
_atom_site_fract_y
_atom_site_fract_z
Ge1 Ge 0.0000 0.0000 0.0000
Te1 Te 0.5000 0.5000 0.5000
I1 I 0.0000 0.5000 0.5000
# **Polymorph energy (0 for the lowest one)**: 0.2268 eV per atom
# **Energy relative to the elements, uncorrected**: 0.4746 eV/atom
# **Crystal system**: cubic
# **M_tot**: 1.17 μB per cell

[6]
# GeTeI2 | the Alexandria database | PBE-GGA | relaxed
data_GeTeI2
_chemical_formula_sum 'Ge4 Te4 I8'
_space_group_name_H-M_alt 'I -4 2 d'
_space_group_IT_number 122
_space_group_name_Hall 'I -4 2bw'
_cell_length_a 8.6846
_cell_length_b 8.6846
_cell_length_c 7.2445
_cell_angle_alpha 90.00
_cell_angle_beta 90.00
_cell_angle_gamma 90.00
loop_
_atom_site_label
_atom_site_type_symbol
_atom_site_fract_x
_atom_site_fract_y
_atom_site_fract_z
Ge1 Ge 0.0000 0.0000 0.0000
Te1 Te 0.0000 0.0000 0.5000
I1 I 0.2078 0.2500 0.1250
# **Polymorph energy (0 for the lowest one)**: 0.4236 eV per atom
# **Energy relative to the elements, uncorrected**: 0.3122 eV/atom
# **Crystal system**: tetragonal
# **M_tot**: 0.00 μB per cell

[7]
# Ge2TeI2 | the Alexandria database | PBE-GGA | relaxed
data_Ge2TeI2
_chemical_formula_sum 'Ge8 Te4 I8'
_space_group_name_H-M_alt 'C 1 2/c 1'
_space_group_IT_number 15
_cell_length_a 12.7748
_cell_length_b 7.5651
_cell_length_c 7.2255
_cell_angle_alpha 90.00
_cell_angle_beta 90.12
_cell_angle_gamma 90.00
loop_
_space_group_symop_operation_xyz
'x,y,z'
'-x,-y,-z'
'-x,y,-z+1/2'
'x,-y,z+1/2'
'x+1/2,y+1/2,z'
'-x+1/2,-y+1/2,-z'
'-x+1/2,y+1/2,-z+1/2'
'x+1/2,-y+1/2,z+1/2'
loop_
_atom_site_label
_atom_site_type_symbol
_atom_site_fract_x
_atom_site_fract_y
_atom_site_fract_z
Ge1 Ge 0.1454 0.9998 0.0006
Te1 Te 0.0000 0.1688 0.2500
I1 I 0.1629 0.3204 0.7487
# **Polymorph energy (0 for the lowest one)**: 0.0426 eV per atom
# **Energy relative to the elements, uncorrected**: -0.1668 eV/atom
# **Crystal system**: monoclinic
# **M_tot**: 0.00 μB per cell

[8]
# GeTeI2 | the Alexandria database | PBE-GGA | relaxed
data_GeTeI2
_chemical_formula_sum 'Ge4 Te4 I8'
_space_group_name_H-M_alt 'F m -3 m'
_space_group_IT_number 225
_space_group_name_Hall '-F 4 2 3'
_cell_length_a 7.8363
_cell_length_b 7.8363
_cell_length_c 7.8363
_cell_angle_alpha 90.00
_cell_angle_beta 90.00
_cell_angle_gamma 90.00
loop_
_atom_site_label
_atom_site_type_symbol
_atom_site_fract_x
_atom_site_fract_y
_atom_site_fract_z
Ge1 Ge 0.0000 0.0000 0.0000
Te1 Te 0.0000 0.0000 0.5000
I1 I 0.2500 0.2500 0.2500
# **Polymorph energy (0 for the lowest one)**: 0.5763 eV per atom
# **Energy relative to the elements, uncorrected**: 0.4649 eV/atom
# **Crystal system**: cubic
# **M_tot**: 0.00 μB per cell